VASP calculation (PBE) on a relaxed Pr2Zn4In3Ag crystal.

Properties
Symmetry: P-4m2, No. 115

abc: 4.469 4.469 11.229
angles: 90.00 90.00 90.00
Fractional coordinates of all 10 atoms:
Pr 0.000 0.500 0.250
Pr 0.500 0.000 0.750
Zn 0.000 0.000 0.000
Zn 0.000 0.500 0.633
Zn 0.500 0.000 0.367
Zn 0.500 0.500 0.000
In 0.000 0.500 0.863
In 0.500 0.000 0.137
In 0.500 0.500 0.500
Ag 0.000 0.000 0.500

---

VASP calculation (PBE) on a relaxed Pr2Zn3InAg4 crystal.

Properties
Symmetry: P-4m2, No. 115

abc: 4.265 4.265 11.996
angles: 90.00 90.00 90.00
Fractional coordinates of all 10 atoms:
Pr 0.000 0.500 0.240
Pr 0.500 0.000 0.760
Zn 0.000 0.500 0.865
Zn 0.500 0.000 0.135
Zn 0.500 0.500 0.500
In 0.000 0.000 0.500
Ag 0.000 0.000 0.000
Ag 0.000 0.500 0.650
Ag 0.500 0.000 0.350
Ag 0.500 0.500 0.000

---

VASP calculation (PBE) on a relaxed Pr2Zn4InAg3 crystal.

Properties
Symmetry: P-4m2, No. 115

abc: 4.291 4.291 11.676
angles: 90.00 90.00 90.00
Fractional coordinates of all 10 atoms:
Pr 0.000 0.500 0.246
Pr 0.500 0.000 0.754
Zn 0.000 0.000 0.000
Zn 0.000 0.500 0.646
Zn 0.500 0.000 0.354
Zn 0.500 0.500 0.000
In 0.000 0.000 0.500
Ag 0.000 0.500 0.865
Ag 0.500 0.000 0.135
Ag 0.500 0.500 0.500

---

VASP calculation (PBE) on a relaxed InAgPt2 crystal.

Properties
Symmetry: F-43m, No. 216

abc: 4.613 4.613 4.613
angles: 60.00 60.00 60.00
Fractional coordinates of all 4 atoms:
In 0.000 0.000 0.000
Ag 0.750 0.750 0.750
Pt 0.250 0.250 0.250
Pt 0.500 0.500 0.500

---

VASP calculation (PBE) on a relaxed In8AgPt6 crystal.

Properties
Symmetry: R-3, No. 148

abc: 7.253 7.253 7.253
angles: 66.52 66.52 66.52
Fractional coordinates of all 15 atoms:
In 0.072 0.704 0.381
In 0.167 0.167 0.167
In 0.296 0.619 0.928
In 0.381 0.072 0.704
In 0.619 0.928 0.296
In 0.704 0.381 0.072
In 0.833 0.833 0.833
In 0.928 0.296 0.619
Ag 0.500 0.500 0.500
Pt 0.099 0.445 0.787
Pt 0.213 0.901 0.555
Pt 0.445 0.787 0.099
Pt 0.555 0.213 0.901
Pt 0.787 0.099 0.445
Pt 0.901 0.555 0.213

---

VASP calculation (PBE) on a relaxed InAgPt2 crystal.

Properties
Symmetry: Cm, No. 8

abc: 5.253 5.253 4.845
angles: 103.44 103.44 32.81
Fractional coordinates of all 4 atoms:
In 0.000 0.000 0.000
Ag 0.781 0.781 0.349
Pt 0.255 0.255 0.836
Pt 0.532 0.532 0.511

---

VASP calculation (PBE) on a relaxed InAgPt2 crystal.

Properties
Symmetry: Pmmm, No. 47

abc: 3.016 3.849 5.919
angles: 90.00 90.00 90.00
Fractional coordinates of all 4 atoms:
In 0.000 0.000 0.000
Ag 0.000 0.000 0.500
Pt 0.500 0.500 0.249
Pt 0.500 0.500 0.751

---

VASP calculation (PBE) on a relaxed InAgPt2 crystal.

Properties
Symmetry: I-4m2, No. 119

abc: 5.016 5.016 5.016
angles: 131.67 131.67 70.76
Fractional coordinates of all 4 atoms:
In 0.000 0.000 0.000
Ag 0.250 0.750 0.500
Pt 0.500 0.500 0.000
Pt 0.750 0.250 0.500

---

VASP calculation (PBE) on a relaxed InAgPt2 crystal.

Properties
Symmetry: P4mm, No. 99

abc: 2.945 2.945 8.085
angles: 90.00 90.00 90.00
Fractional coordinates of all 4 atoms:
In 0.000 0.000 0.000
Ag 0.500 0.500 0.725
Pt 0.000 0.000 0.478
Pt 0.500 0.500 0.239

---

VASP calculation (PBE) on a relaxed InAgPt2 crystal.

Properties
Symmetry: Pmm2, No. 25

abc: 2.935 4.129 5.723
angles: 90.00 90.00 90.00
Fractional coordinates of all 4 atoms:
In 0.000 0.000 0.000
Ag 0.500 0.500 0.720
Pt 0.000 0.000 0.495
Pt 0.500 0.500 0.227

---

VASP calculation (PBE) on a relaxed InAgPt2 crystal.

Properties
Symmetry: P4/mmm, No. 123

abc: 3.020 3.020 7.577
angles: 90.00 90.00 90.00
Fractional coordinates of all 4 atoms:
In 0.000 0.000 0.000
Ag 0.000 0.000 0.500
Pt 0.500 0.500 0.243
Pt 0.500 0.500 0.757

---

VASP calculation (PBE) on a relaxed InAgPt14 crystal.

Properties
Symmetry: Amm2, No. 38

abc: 9.392 5.617 5.617
angles: 59.87 90.00 90.00
Fractional coordinates of all 16 atoms:
In 0.000 0.000 0.000
Ag 0.000 0.501 0.501
Pt 0.000 0.001 0.502
Pt 0.000 0.502 0.001
Pt 0.249 0.166 0.166
Pt 0.250 0.666 0.666
Pt 0.252 0.165 0.665
Pt 0.252 0.665 0.165
Pt 0.500 0.329 0.329
Pt 0.500 0.330 0.830
Pt 0.500 0.829 0.829
Pt 0.500 0.830 0.330
Pt 0.748 0.165 0.665
Pt 0.748 0.665 0.165
Pt 0.750 0.666 0.666
Pt 0.751 0.166 0.166

---

Table of magnetization (μB/f.u.), in record order: 0.00, 0.00, 0.00, 0.00, 0.00, 0.00, 0.00, 0.00, 0.00, 0.00, 0.00, 0.00
Table of DOS at the Fermi energy (states/eV per cell), in record order: 4.99, 5.83, 5.79, 1.36, 3.87, 1.32, 1.41, 1.52, 2.21, 1.60, 1.05, 23.87
Table of energy of formation (eV per atom), in record order: -0.303, -0.236, -0.254, -0.178, -0.448, -0.203, -0.261, -0.222, -0.056, -0.157, -0.238, -0.057